Entry from the Alexandria database: Ca2LaAg2 after structural relaxation (GGA-PBE).

a = 7.634 Å, b = 7.634 Å, c = 7.634 Å
α = 144.21°, β = 144.21°, γ = 51.52°
Fractional positions:
Ca 0.250 0.750 0.500
Ca 0.750 0.250 0.500
La 0.000 0.000 0.000
Ag 0.400 0.400 0.000
Ag 0.600 0.600 0.000

E above lowest polymorph (eV per atom): 0.1317
M_tot (μB/f.u.): 0.98
Formation enthalpy at 0 K (eV/atom): -0.09
Density (g/cm3): 4.8